# 1
The following is a DFT calculation (PBE) of an optimized crystal structure of ZrNp2Ga6.

Lattice parameters (Å, degrees): 7.8987 7.8987 3.1970 90.00 90.00 120.00
Last column: nearest neighbours and their distance in Å.
Space group P6/mmm (No. 191)
Inequivalent atoms, fractional coordinates:
1 Zr 0.0000 0.0000 0.0000 (multiplicity 1)  12 Ga 3.04, 2 Zr 3.20
2 Np 0.3333 0.6667 0.0000 (multiplicity 2)  12 Ga 3.10, 2 Np 3.20
3 Ga 0.0000 0.3269 0.5000 (multiplicity 6)  3 Ga 2.58-2.74

Crystal system: hexagonal
Density of states at the Fermi level (states/eV per cell): 17.9
Total DFT energy (no corrections) (eV per atom): -6.08

# 2
The following is a DFT calculation (PBE) of an optimized crystal structure of Tb2DySb.

Lattice parameters (Å, degrees): 3.9667 3.9667 29.0856 90.00 90.00 120.00
Last column: nearest neighbours and their distance in Å.
Space group R-3m (No. 166, hexagonal axes)
Inequivalent atoms, fractional coordinates:
1 Tb 0.0000 0.0000 0.2343 (multiplicity 6)  3 Sb 3.02
2 Dy 0.0000 0.0000 0.0000 (multiplicity 3)  6 Tb 3.68, 6 Dy 3.97
3 Sb 0.0000 0.0000 0.5000 (multiplicity 3)  6 Tb 3.02

Formation energy from raw total energies (eV/atom): -0.29
Crystal system: trigonal
Density of states at the Fermi level (states/eV per cell): 16.9
Total DFT energy (no corrections) (eV per atom): -4.79
Excess energy over the best structure of this formula in the dataset (eV per atom): 0.259

# 3
The following is a DFT calculation (PBE) of an optimized crystal structure of Pm8Ge3Te3Se.

Lattice parameters (Å, degrees): 8.6233 8.6233 21.4656 90.00 90.00 120.00
Last column: nearest neighbours and their distance in Å.
Space group R-3m (No. 166, hexagonal axes)
Inequivalent atoms, fractional coordinates:
1 Pm 0.0000 0.0000 0.2418 (multiplicity 6)  3 Ge 2.97, 3 Te 3.17
2 Pm 0.0098 0.5049 0.7571 (multiplicity 18)  2 Ge 2.95, 1 Se 3.04, 2 Te 3.19
3 Ge 0.0000 0.5000 0.5000 (multiplicity 9)  6 Pm 2.95-2.97
4 Te 0.0000 0.5000 0.0000 (multiplicity 9)  6 Pm 3.17-3.19
5 Se 0.0000 0.0000 0.5000 (multiplicity 3)  6 Pm 3.04

Formation energy from raw total energies (eV/atom): -1.19
Crystal system: trigonal
Density of states at the Fermi level (states/eV per cell): 26.7
Total DFT energy (no corrections) (eV per atom): -5.51

# 4
The following is a DFT calculation (PBE) of an optimized crystal structure of BaSn2Ir2.

Lattice parameters (Å, degrees): 8.3031 8.3031 3.1863 90.00 90.00 90.00
Last column: nearest neighbours and their distance in Å.
Space group P4/mbm (No. 127)
Inequivalent atoms, fractional coordinates:
1 Ba 0.0000 0.0000 0.0000 (multiplicity 2)  2 Ba 3.19, 4 Ir 3.25, 8 Sn 3.54
2 Sn 0.1498 0.3502 0.5000 (multiplicity 4)  6 Ir 2.83-3.03
3 Ir 0.1309 0.6309 0.0000 (multiplicity 4)  6 Sn 2.83-3.03, 1 Ir 3.07

Crystal system: tetragonal
Density of states at the Fermi level (states/eV per cell): 11.6
Total DFT energy (no corrections) (eV per atom): -5.56